Model 1:
CaY4Bi4O12: relaxed, PBE-GGA.

Cell and atoms, written as extended XYZ:
```
21
Lattice="8.3537 0.0000 0.0000 0.0000 6.5246 0.0061 0.0000 0.6625 6.5362" Properties=species:S:1:pos:R:3 pbc="T T T"
Ca 0.0000 3.8485 5.0100
Y 4.1769 0.4912 0.2236
Y 0.0000 2.6747 2.1559
Y 4.1769 3.2254 3.3376
Y 0.0000 7.0254 6.4381
Bi 6.3398 6.8247 3.3595
Bi 5.6912 3.8809 0.2563
Bi 2.6625 3.8809 0.2563
Bi 2.0139 6.8247 3.3595
O 6.9687 2.3090 3.9928
O 5.9307 6.5487 5.9072
O 1.3377 1.0798 1.3310
O 2.5094 4.3899 2.3809
O 5.8443 4.3899 2.3809
O 7.0160 1.0798 1.3310
O 2.4231 6.5487 5.9072
O 1.3850 2.3090 3.9928
O 0.0000 6.0185 4.1846
O 4.1769 2.8416 5.4784
O 0.0000 4.2882 0.5411
O 4.1769 1.3193 2.3137
```

Properties
**SG**: Pm, No. 6



Model 2:
CaY4Bi4O12: relaxed, PBE-GGA.

Cell and atoms, written as extended XYZ:
```
21
Lattice="-7.6367 0.7311 1.5950 -1.3369 -0.3593 -6.2362 -0.3312 -6.6026 1.4406" Properties=species:S:1:pos:R:3 pbc="T T T"
Ca -0.9135 -1.5696 -3.6544
Y -5.3386 -6.1796 -3.4814
Y -0.8873 -4.2956 -2.2795
Y -4.6533 -3.1082 -1.6080
Y -0.3197 -5.8321 1.1424
Bi -6.1314 -6.2162 -0.1066
Bi -5.7411 -2.1567 1.6021
Bi -2.2279 -2.4931 0.8683
Bi -3.2929 -6.4879 -0.6994
O -6.7664 -2.2607 -0.4108
O -5.7674 -4.8838 1.5994
O -2.5890 -0.9354 -5.1056
O -3.5490 -4.9937 -2.3405
O -6.2804 -4.7322 -1.7700
O -7.5032 -0.4650 -4.0793
O -2.7012 -5.1774 0.9591
O -2.1229 -2.7052 -1.3806
O -0.7898 -6.0368 -1.0143
O -4.1323 -1.4204 0.1126
O -1.3118 -3.9763 -4.4581
O -4.8949 -1.8595 -3.3374
```

Properties
**SG**: Pm, No. 6



Most stable structure: model 2



Model 1:
CaBiOs3: relaxed, PBE-GGA.

Cell and atoms, written as extended XYZ:
```
5
Lattice="-4.2062 -2.0600 1.7884 -1.4372 -1.1201 -4.6705 2.3187 -4.4312 0.3491" Properties=species:S:1:pos:R:3 pbc="T T T"
Ca -1.6624 -3.8057 -1.2665
Os -0.7186 -0.5600 -2.3353
Os 1.1594 -2.2156 0.1746
Os -2.1031 -1.0300 0.8942
Bi 0.0000 0.0000 0.0000
```

Properties
**SG**: Pm-3m, No. 221



Model 2:
CaBiOs3: relaxed, PBE-GGA.

Cell and atoms, written as extended XYZ:
```
5
Lattice="-0.4062 0.4566 -4.7314 3.5926 -3.0799 -0.6057 -3.1124 -3.6146 -0.0816" Properties=species:S:1:pos:R:3 pbc="T T T"
Ca 0.0000 0.0000 0.0000
Os 1.7963 -1.5399 -0.3028
Os -1.5562 -1.8073 -0.0408
Os -0.2031 0.2283 -2.3657
Bi 0.0370 -3.1189 -2.7093
```

Properties
**SG**: Pm-3m, No. 221



Most stable structure: model 1



Model 1:
Ca3BiOs: relaxed, PBE-GGA.

Cell and atoms, written as extended XYZ:
```
5
Lattice="-1.4126 -1.9061 5.3223 -3.1145 -4.3159 -2.3723 4.7180 -3.4198 0.0275" Properties=species:S:1:pos:R:3 pbc="T T T"
Ca -1.5572 -2.1580 -1.1862
Ca 2.3590 -1.7099 0.0138
Ca -0.7063 -0.9530 2.6611
Os 0.0954 -4.8209 1.4887
Bi 0.0000 0.0000 0.0000
```

Properties
**SG**: Pm-3m, No. 221



Model 2:
Ca3BiOs: relaxed, PBE-GGA.

Cell and atoms, written as extended XYZ:
```
5
Lattice="5.4316 0.0000 0.0000 0.0000 5.4316 0.0000 0.0000 0.0000 5.4316" Properties=species:S:1:pos:R:3 pbc="T T T"
Ca 0.0000 2.7158 0.0000
Ca 0.0000 0.0000 2.7158
Ca 2.7158 0.0000 0.0000
Os 0.0000 0.0000 0.0000
Bi 2.7158 2.7158 2.7158
```

Properties
**SG**: Pm-3m, No. 221



Most stable structure: model 2



Model 1:
CaVBiOs2: relaxed, PBE-GGA.

Cell and atoms, written as extended XYZ:
```
5
Lattice="-4.3725 -1.7026 -0.3456 1.7845 -3.9811 -2.9641 0.6959 -2.5742 3.8764" Properties=species:S:1:pos:R:3 pbc="T T T"
Ca 0.0000 0.0000 0.0000
Os 0.3480 -1.2871 1.9382
Os -2.1863 -0.8513 -0.1728
Bi 0.8923 -1.9906 -1.4821
V -0.9460 -4.1290 0.2833
```

Properties
**SG**: P4/mmm, No. 123



Model 2:
CaVBiOs2: relaxed, PBE-GGA.

Cell and atoms, written as extended XYZ:
```
5
Lattice="-1.0213 -4.3675 -1.8604 4.2075 -0.3478 -1.4934 1.3120 -2.0885 4.1828" Properties=species:S:1:pos:R:3 pbc="T T T"
Ca 0.0000 0.0000 0.0000
Os 0.6560 -1.0442 2.0914
Os -0.5106 -2.1838 -0.9302
Bi 2.2491 -3.4019 0.4146
V 2.1037 -0.1739 -0.7467
```

Properties
**SG**: P4/mmm, No. 123



Most stable structure: model 2



Model 1:
Ca3BiP: relaxed, PBE-GGA.

Cell and atoms, written as extended XYZ:
```
10
Lattice="5.4184 -0.0001 -0.0011 -0.0004 6.8841 -0.0498 0.0020 -0.5229 8.3898" Properties=species:S:1:pos:R:3 pbc="T T T"
P 4.0261 4.9380 6.6450
P 4.0257 1.2478 1.8783
Ca 4.0272 0.9679 7.5076
Ca 1.3167 4.7908 6.2311
Ca 4.0238 5.2149 1.0156
Ca 4.0253 6.5346 4.2360
Ca 4.0255 3.0924 4.2626
Ca 1.3165 1.3962 2.2922
Bi 1.3154 4.7913 2.8127
Bi 1.3176 1.3947 5.7117
```

Properties
**SG**: P2/m, No. 10



Model 2:
Ca3BiP: relaxed, PBE-GGA.

Cell and atoms, written as extended XYZ:
```
10
Lattice="5.8559 0.0000 0.0000 0.0000 5.8559 0.0000 2.9279 2.9279 11.2640" Properties=species:S:1:pos:R:3 pbc="T T T"
P 5.8559 2.9279 7.7369
P 5.8559 2.9279 3.5271
Ca 1.3813 5.8559 2.7403
Ca 2.9279 7.4025 8.5238
Ca 2.9279 4.3092 8.5238
Ca 4.4746 5.8559 2.7403
Ca 2.9279 2.9279 4.6320
Ca 5.8559 5.8559 6.6320
Bi 0.0000 0.0000 0.0000
Bi 2.9279 5.8559 5.6320
```

Properties
**SG**: I-4m2, No. 119



Most stable structure: model 1



Model 1:
Ca6Bi3P: relaxed, PBE-GGA.

Cell and atoms, written as extended XYZ:
```
10
Lattice="-5.1838 -5.5223 -2.6302 2.6860 -5.6483 -4.7222 0.7838 -7.3509 2.6015" Properties=species:S:1:pos:R:3 pbc="T T T"
Ca -0.7723 -7.8139 0.0036
Ca -1.8777 -11.5453 -1.1510
Ca -0.9417 -10.7076 -4.7544
Ca 0.1637 -6.9762 -3.5999
Ca 1.7848 -10.3555 -1.9437
Ca -3.4988 -8.1661 -2.8071
Bi -0.5657 -4.6798 -1.2348
Bi -1.1484 -13.8417 -3.5160
Bi 0.0000 0.0000 0.0000
P -0.8570 -9.2608 -2.3754
```

Properties
**SG**: C2/m, No. 12



Model 2:
Ca6Bi3P: relaxed, PBE-GGA.

Cell and atoms, written as extended XYZ:
```
20
Lattice="7.6940 0.0000 0.0795 0.0000 8.2395 0.0000 0.0240 0.0000 10.9365" Properties=species:S:1:pos:R:3 pbc="T T T"
Ca 5.3980 1.4637 10.3549
Ca 5.1985 1.6989 6.2967
Ca 4.8851 3.5934 2.9221
Ca 2.8329 4.6461 8.0940
Ca 2.5195 6.5407 4.7193
Ca 2.3199 6.7758 0.6612
Ca 1.5391 2.6560 4.8468
Ca 1.3395 2.4209 0.7887
Ca 1.0501 0.5263 8.3505
Ca 6.6679 7.7132 2.6655
Ca 6.3785 5.8186 10.2273
Ca 6.1789 5.5835 6.1692
Bi 4.0555 7.6137 8.2821
Bi 3.8470 4.1198 0.0398
Bi 3.6625 0.6258 2.7339
Bi 0.1965 4.7456 2.7741
Bi 0.0120 0.0000 5.4682
Bi 7.5215 3.4940 8.2419
P 3.8590 4.1198 5.5080
P 0.0000 0.0000 0.0000
```

Properties
**SG**: P2_1/c, No. 14



Most stable structure: model 2



Model 1:
CaBiP3: relaxed, PBE-GGA.

Cell and atoms, written as extended XYZ:
```
5
Lattice="-4.9994 -1.5571 -0.1387 0.1791 -0.1089 -5.2340 1.5530 -5.0002 0.1572" Properties=species:S:1:pos:R:3 pbc="T T T"
P 0.0896 -0.0545 -2.6170
P 0.7765 -2.5001 0.0786
P -2.4997 -0.7786 -0.0694
Ca -1.6337 -3.3331 -2.6077
Bi 0.0000 0.0000 0.0000
```

Properties
**SG**: Pm-3m, No. 221



Model 2:
CaBiP3: relaxed, PBE-GGA.

Cell and atoms, written as extended XYZ:
```
5
Lattice="5.1444 0.0000 0.0000 0.0000 5.1444 0.0000 0.0000 0.0000 5.1444" Properties=species:S:1:pos:R:3 pbc="T T T"
P 0.0000 2.5722 0.0000
P 0.0000 0.0000 2.5722
P 2.5722 0.0000 0.0000
Ca 0.0000 0.0000 0.0000
Bi 2.5722 2.5722 2.5722
```

Properties
**SG**: Pm-3m, No. 221



Most stable structure: model 1



Model 1:
Ca2Bi3Pb: relaxed, PBE-GGA.

Cell and atoms, written as extended XYZ:
```
12
Lattice="4.6995 0.0000 0.0000 0.0000 7.0501 0.0000 0.0000 0.0000 11.7752" Properties=species:S:1:pos:R:3 pbc="T T T"
Ca 2.3497 5.2769 1.9265
Ca 0.0000 5.2982 7.8141
Ca 0.0000 1.7519 3.9611
Ca 2.3497 1.7732 9.8487
Bi 0.0000 0.0000 0.0000
Bi 2.3497 3.5250 5.8876
Bi 2.3497 1.7257 1.6219
Bi 2.3497 5.3243 10.1533
Bi 0.0000 1.7993 7.5095
Bi 0.0000 5.2508 4.2657
Pb 0.0000 3.5250 0.0000
Pb 2.3497 0.0000 5.8876
```

Properties
**SG**: Pnnm, No. 58



Model 2:
Ca2Bi3Pb: relaxed, PBE-GGA.

Cell and atoms, written as extended XYZ:
```
6
Lattice="3.6301 0.0000 0.0000 0.0000 6.5929 0.0000 -1.8150 -3.2965 8.4402" Properties=species:S:1:pos:R:3 pbc="T T T"
Ca 1.8150 0.0000 2.7982
Ca 0.0000 3.2965 5.6421
Bi 0.0000 0.0000 5.6055
Bi 0.0000 0.0000 0.0000
Bi 1.8150 3.2965 2.8348
Pb 0.0000 3.2965 0.0000
```

Properties
**SG**: Immm, No. 71



Most stable structure: model 1